w:
This record from Alexandria via LeMat-Bulk describes an optimized crystal structure of Ag2BiAu2. The functional is PBEsol.

Computed properties:
ρ: 14.007 g/cm3

Lattice parameters (Å, degrees): 7.778 7.778 3.208 90.00 90.00 90.00
Space group P4/mbm (No. 127)
Inequivalent atoms, fractional coordinates:
Ag  0.166  0.334  0.000
Bi  0.000  0.000  0.500
Au  0.129  0.629  0.500


x:
This record from Alexandria via LeMat-Bulk describes an optimized crystal structure of Ag2BiAu2. The functional is PBEsol.

Computed properties:
ρ: 13.336 g/cm3

Lattice parameters (Å, degrees): 3.868 3.868 13.628 90.00 90.00 90.00
Space group I4/mmm (No. 139)
Inequivalent atoms, fractional coordinates:
Ag  0.000  0.000  0.101
Bi  0.000  0.000  0.500
Au  0.000  0.500  0.250


Which of them is the least stable? Correct choice: x.


w:
This record from Alexandria via LeMat-Bulk describes an optimized crystal structure of AgAuCl2. The functional is PBEsol.

Computed properties:
ρ: 6.578 g/cm3

Lattice parameters (Å, degrees): 5.195 5.195 14.060 90.00 90.00 90.00
Space group I-42d (No. 122)
Inequivalent atoms, fractional coordinates:
Ag  0.000  0.000  0.000
Au  0.000  0.000  0.500
Cl  0.245  0.250  0.625


x:
This record from Alexandria via LeMat-Bulk describes an optimized crystal structure of AgAuCl2. The functional is PBEsol.

Computed properties:
ρ: 6.435 g/cm3

Lattice parameters (Å, degrees): 3.8765 3.8765 22.3503 90.00 90.00 120.00
Space group R-3m (No. 166, hexagonal axes)
Inequivalent atoms, fractional coordinates:
Ag  0.0000  0.0000  0.0000
Au  0.0000  0.0000  0.5000
Cl  0.0000  0.0000  0.3987


y:
This record from Alexandria via LeMat-Bulk describes an optimized crystal structure of AgAuCl2. The functional is PBEsol.

Computed properties:
ρ: 7.716 g/cm3

Lattice parameters (Å, degrees): 3.513 3.513 6.554 90.00 90.00 90.00
Space group P4mm (No. 99)
Inequivalent atoms, fractional coordinates:
Ag  0.000  0.000  0.000
Au  0.500  0.500  0.207
Cl  0.000  0.000  0.413
Cl  0.500  0.500  0.815


z:
This record from Alexandria via LeMat-Bulk describes an optimized crystal structure of AgAuCl2. The functional is PBEsol.

Computed properties:
ρ: 7.317 g/cm3

Lattice parameters (Å, degrees): 3.670 5.903 7.872 90.00 90.00 90.00
Space group Cmm2 (No. 35)
Inequivalent atoms, fractional coordinates:
Ag  0.000  0.000  0.000
Au  0.000  0.500  0.236
Cl  0.000  0.000  0.436
Cl  0.000  0.500  0.802


Which of them is the least stable? Correct choice: w.


w:
This record from Alexandria via LeMat-Bulk describes an optimized crystal structure of AgAuCl2. The functional is PBEsol.

Computed properties:
ρ: 7.803 g/cm3

Lattice parameters (Å, degrees): 3.886 3.741 5.505 90.00 92.58 90.00
Space group P2/m (No. 10)
Inequivalent atoms, fractional coordinates:
Ag  0.000  0.000  0.000
Au  0.500  0.500  0.500
Cl  0.000  0.000  0.500
Cl  0.500  0.500  0.000


x:
This record from Alexandria via LeMat-Bulk describes an optimized crystal structure of AgAuCl2. The functional is PBEsol.

Computed properties:
ρ: 6.494 g/cm3

Lattice parameters (Å, degrees): 11.475 3.698 4.539 90.00 93.86 90.00
Space group C2/m (No. 12)
Inequivalent atoms, fractional coordinates:
Ag  0.000  0.000  0.000
Au  0.000  0.500  0.500
Cl  0.155  0.500  0.212


Which of them is the least stable? Correct choice: w.